[1]
12
Lattice="6.458 0.000 0.000 0.000 8.315 0.000 -0.579 0.000 6.642" Properties=species:S:1:pos:R:3 comment="Na2SnBiCl8 | Alexandria via LeMat-Bulk | PBE | relaxed" sg="No. 10" dft_energy_ev_per_cell=-39.68 formation_energy_uncorrected_mev_per_atom=-1199 mass_density_g_cm3=3.1 magmom_total_mub_per_atom=0.000 pbc="T T T"
Na 0.000 2.078 0.000
Na 0.000 6.237 0.000
Sn 2.939 0.000 3.321
Bi 2.939 4.157 3.321
Cl 1.344 0.000 1.272
Cl 1.356 4.157 1.157
Cl 1.492 2.036 4.399
Cl 1.492 6.279 4.399
Cl 4.387 2.036 2.243
Cl 4.387 6.279 2.243
Cl 4.523 4.157 5.484
Cl 4.535 0.000 5.370

=====

[2]
12
Lattice="6.570 0.000 0.000 0.149 6.791 0.000 0.004 0.004 8.455" Properties=species:S:1:pos:R:3 comment="NaSn2BiCl8 | Alexandria via LeMat-Bulk | PBE | relaxed" sg="No. 2" dft_energy_ev_per_cell=-41.54 formation_energy_uncorrected_mev_per_atom=-1130 mass_density_g_cm3=3.3 magmom_total_mub_per_atom=0.000 pbc="T T T"
Na 0.000 0.000 0.000
Sn 3.358 3.395 2.054
Sn 3.364 3.401 6.401
Bi 0.002 0.002 4.228
Cl 1.588 5.666 2.174
Cl 1.598 5.676 6.280
Cl 1.695 2.150 4.220
Cl 1.924 2.283 0.007
Cl 4.798 4.512 8.449
Cl 5.028 4.645 4.236
Cl 5.125 1.119 2.175
Cl 5.134 1.129 6.281